Entry 1:
The following is a DFT calculation (PBE) of TaSb2F after structural relaxation.

Properties
magnetization	0.00	μB/cell
crystal system	cubic
ΔE_f (raw)	-197	meV/atom
excess energy over the best structure of this formula in the dataset	0.000	eV per atom
V	19.830	A^3/atom

Cell: 4.8228 4.8228 4.8228 Å, 60.00 60.00 60.00°
Fractional positions:
Ta: 0.0000 0.0000 0.0000
Sb: 0.2500 0.2500 0.2500
Sb: 0.7500 0.7500 0.7500
F: 0.5000 0.5000 0.5000

=====

Entry 2:
The following is a DFT calculation (PBE) of Ta2SbF after structural relaxation.

Properties
magnetization	0.00	μB/cell
crystal system	cubic
ΔE_f (raw)	-101	meV/atom
excess energy over the best structure of this formula in the dataset	0.000	eV per atom
V	17.219	A^3/atom

Cell: 4.6011 4.6011 4.6011 Å, 60.00 60.00 60.00°
Fractional positions:
Ta: 0.2500 0.2500 0.2500
Ta: 0.7500 0.7500 0.7500
Sb: 0.0000 0.0000 0.0000
F: 0.5000 0.5000 0.5000

=====

Entry 3:
The following is a DFT calculation (PBE) of TaSbF2 after structural relaxation.

Properties
magnetization	0.00	μB/cell
crystal system	tetragonal
ΔE_f (raw)	-1089	meV/atom
excess energy over the best structure of this formula in the dataset	0.328	eV per atom
V	16.469	A^3/atom

Cell: 7.9460 7.9460 7.9460 Å, 149.12 149.12 44.23°
Fractional positions:
Ta: 0.0000 0.0000 0.0000
Ta: 0.7500 0.2500 0.5000
Sb: 0.2500 0.7500 0.5000
Sb: 0.5000 0.5000 0.0000
F: 0.3750 0.2259 0.3509
F: 0.7741 0.1250 0.1491
F: 0.8750 0.0241 0.6491
F: 0.9759 0.6250 0.8509